# Sm6Rh2CBr3 | Alexandria via LeMat-Bulk | PBE-GGA | relaxed
# total moment: 0.000 μB per atom
# theoretical density: 7.1 Mg/m³
# crystal system: monoclinic
# formation energy without anion corrections: -11.5 eV/f.u.
data_Sm6Rh2CBr3
_space_group_name_H-M_alt 'C 1 2/m 1'
_space_group_IT_number 12
_space_group_name_Hall '-C 2y'
_cell_length_a 6.973
_cell_length_b 12.080
_cell_length_c 7.911
_cell_angle_alpha 90.00
_cell_angle_beta 106.74
_cell_angle_gamma 90.00
loop_
_atom_site_label
_atom_site_type_symbol
_atom_site_fract_x
_atom_site_fract_y
_atom_site_fract_z
Sm1 Sm 0.215 0.155 0.186
Sm2 Sm 0.248 0.500 0.187
Rh1 Rh 0.000 0.333 0.000
C1 C 0.000 0.000 0.000
Br1 Br 0.000 0.161 0.500
Br2 Br 0.000 0.500 0.500